Computed, not measured: a relaxed VCu2Pb2 crystal at the PBE level of DFT.

Computed properties:
Offset from the most stable computed form in meV per atom: 0.0
ΔH_f (0 K) in eV per atom: 0.402
Magnetic moment in μB per cell: 5.245

Structure (CIF):
```
data_VCu2Pb2
_chemical_formula_sum 'V2 Cu4 Pb4'
_cell_length_a 3.4518
_cell_length_b 3.4518
_cell_length_c 16.5490
_cell_angle_alpha 90.00
_cell_angle_beta 90.00
_cell_angle_gamma 90.00
_space_group_name_H-M_alt 'I 4/m m m'
_space_group_IT_number 139
_space_group_name_Hall '-I 4 2'
loop_
_atom_site_label
_atom_site_fract_x
_atom_site_fract_y
_atom_site_fract_z
_atom_site_occupancy
V1 0.0000 0.0000 0.0000 1
Cu1 0.0000 0.5000 0.2500 1
Pb1 0.0000 0.0000 0.3908 1
```

***

Computed, not measured: a relaxed ZrTi3Sb2 crystal at the PBE level of DFT.

Computed properties:
Offset from the most stable computed form in meV per atom: 0.0
Formation energy (no corrections) in meV/atom: -462
Magnetic moment in μB per cell: 0.000

Structure (CIF):
```
data_ZrTi3Sb2
_chemical_formula_sum 'Zr2 Ti6 Sb4'
_cell_length_a 4.6335
_cell_length_b 8.7661
_cell_length_c 5.7037
_cell_angle_alpha 90.00
_cell_angle_beta 90.00
_cell_angle_gamma 90.00
_space_group_name_H-M_alt 'P m c 21'
_space_group_IT_number 26
loop_
_space_group_symop_operation_xyz
'x,y,z'
'-x,-y,z+1/2'
'-x,y,z'
'x,-y,z+1/2'
loop_
_atom_site_label
_atom_site_fract_x
_atom_site_fract_y
_atom_site_fract_z
_atom_site_occupancy
Zr1 0.0000 0.0493 0.0000 1
Ti1 0.0000 0.2924 0.5197 1
Ti2 0.5000 0.2169 0.2304 1
Ti3 0.5000 0.4556 0.7499 1
Sb1 0.0000 0.3859 0.0394 1
Sb2 0.5000 0.1281 0.7055 1
```

***

Computed, not measured: a relaxed Pa2PbS crystal at the PBE level of DFT.

Computed properties:
Offset from the most stable computed form in meV per atom: 0.0
Formation energy (no corrections) in meV/atom: -658
Magnetic moment in μB per cell: 0.002

Structure (CIF):
```
data_Pa2PbS
_chemical_formula_sum 'Pa6 Pb3 S3'
_cell_length_a 4.1455
_cell_length_b 4.1455
_cell_length_c 20.6517
_cell_angle_alpha 90.00
_cell_angle_beta 90.00
_cell_angle_gamma 120.00
_space_group_name_H-M_alt 'R -3 m'
_space_group_IT_number 166
_space_group_name_Hall '-R 3 2"'
loop_
_atom_site_label
_atom_site_fract_x
_atom_site_fract_y
_atom_site_fract_z
_atom_site_occupancy
Pa1 0.0000 0.0000 0.2334 1
Pb1 0.0000 0.0000 0.0000 1
S1 0.0000 0.0000 0.5000 1
```

***

Computed, not measured: a relaxed NaCa4Cd5 crystal at the PBE level of DFT.

Computed properties:
ΔH_f (0 K) in eV per atom: -0.289
Magnetic moment in μB per cell: 0.000

Structure (CIF):
```
data_NaCa4Cd5
_chemical_formula_sum 'Na1 Ca4 Cd5'
_cell_length_a 3.7761
_cell_length_b 3.7761
_cell_length_c 19.5104
_cell_angle_alpha 90.00
_cell_angle_beta 90.00
_cell_angle_gamma 90.00
_space_group_name_H-M_alt 'P 4/m m m'
_space_group_IT_number 123
_space_group_name_Hall '-P 4 2'
loop_
_atom_site_label
_atom_site_fract_x
_atom_site_fract_y
_atom_site_fract_z
_atom_site_occupancy
Na1 0.0000 0.0000 0.0000 1
Ca1 0.0000 0.0000 0.1959 1
Ca2 0.0000 0.0000 0.3987 1
Cd1 0.5000 0.5000 0.0919 1
Cd2 0.5000 0.5000 0.2973 1
Cd3 0.5000 0.5000 0.5000 1
```

***

Computed, not measured: a relaxed SrLi4Se crystal at the PBE level of DFT.

Computed properties:
Formation energy (no corrections) in meV/atom: -247
Magnetic moment in μB per cell: 0.000

Structure (CIF):
```
data_SrLi4Se
_chemical_formula_sum 'Sr4 Li16 Se4'
_cell_length_a 8.2106
_cell_length_b 8.2106
_cell_length_c 8.2106
_cell_angle_alpha 90.00
_cell_angle_beta 90.00
_cell_angle_gamma 90.00
_space_group_name_H-M_alt 'F -4 3 m'
_space_group_IT_number 216
_space_group_name_Hall 'F -4 2 3'
loop_
_atom_site_label
_atom_site_fract_x
_atom_site_fract_y
_atom_site_fract_z
_atom_site_occupancy
Sr1 0.0000 0.0000 0.0000 1
Li1 0.1232 0.1232 0.6232 1
Se1 0.2500 0.2500 0.2500 1
```

***

Computed, not measured: a relaxed BaSr2Tl2Pb2 crystal at the PBE level of DFT.

Computed properties:
ΔH_f (0 K) in eV per atom: -0.330
Magnetic moment in μB per cell: 0.000

Structure (CIF):
```
data_BaSr2Tl2Pb2
_chemical_formula_sum 'Ba3 Sr6 Tl6 Pb6'
_cell_length_a 5.5529
_cell_length_b 5.5529
_cell_length_c 29.7769
_cell_angle_alpha 90.00
_cell_angle_beta 90.00
_cell_angle_gamma 120.00
_space_group_name_H-M_alt 'R -3 m'
_space_group_IT_number 166
_space_group_name_Hall '-R 3 2"'
loop_
_atom_site_label
_atom_site_fract_x
_atom_site_fract_y
_atom_site_fract_z
_atom_site_occupancy
Ba1 0.0000 0.0000 0.0000 1
Sr1 0.0000 0.0000 0.1338 1
Tl1 0.0000 0.0000 0.4322 1
Pb1 0.0000 0.0000 0.2590 1
```

***

Computed, not measured: a relaxed Tb3TmRu4 crystal at the PBE level of DFT.

Computed properties:
ΔH_f (0 K) in eV per atom: -0.318
Magnetic moment in μB per cell: 0.000

Structure (CIF):
```
data_Tb3TmRu4
_chemical_formula_sum 'Tb3 Tm1 Ru4'
_cell_length_a 3.4061
_cell_length_b 4.7990
_cell_length_c 9.6027
_cell_angle_alpha 90.00
_cell_angle_beta 90.00
_cell_angle_gamma 90.00
_space_group_name_H-M_alt 'P m m m'
_space_group_IT_number 47
loop_
_space_group_symop_operation_xyz
'x,y,z'
'-x,-y,-z'
'-x,-y,z'
'x,y,-z'
'x,-y,-z'
'-x,y,z'
'-x,y,-z'
'x,-y,z'
loop_
_atom_site_label
_atom_site_fract_x
_atom_site_fract_y
_atom_site_fract_z
_atom_site_occupancy
Tb1 0.0000 0.0000 0.0000 1
Tb2 0.0000 0.5000 0.2523 1
Tm1 0.0000 0.0000 0.5000 1
Ru1 0.5000 0.0000 0.2531 1
Ru2 0.5000 0.5000 0.0000 1
Ru3 0.5000 0.5000 0.5000 1
```

***

Computed, not measured: a relaxed LiAl3Cl crystal at the PBE level of DFT.

Computed properties:
Offset from the most stable computed form in meV per atom: 0.0
Formation energy (no corrections) in meV/atom: 316
Magnetic moment in μB per cell: 0.000

Structure (CIF):
```
data_LiAl3Cl
_chemical_formula_sum 'Li1 Al3 Cl1'
_cell_length_a 4.7221
_cell_length_b 4.7221
_cell_length_c 4.7221
_cell_angle_alpha 90.00
_cell_angle_beta 90.00
_cell_angle_gamma 90.00
_space_group_name_H-M_alt 'P m -3 m'
_space_group_IT_number 221
_space_group_name_Hall '-P 4 2 3'
loop_
_atom_site_label
_atom_site_fract_x
_atom_site_fract_y
_atom_site_fract_z
_atom_site_occupancy
Li1 0.0000 0.0000 0.0000 1
Al1 0.0000 0.0000 0.5000 1
Cl1 0.5000 0.5000 0.5000 1
```

***

Computed, not measured: a relaxed Ta5MoW2 crystal at the PBE level of DFT.

Computed properties:
ΔH_f (0 K) in eV per atom: -0.013
Magnetic moment in μB per cell: 0.000

Structure (CIF):
```
data_Ta5MoW2
_chemical_formula_sum 'Ta10 Mo2 W4'
_cell_length_a 5.5489
_cell_length_b 10.9421
_cell_length_c 4.6044
_cell_angle_alpha 90.00
_cell_angle_beta 90.00
_cell_angle_gamma 90.00
_space_group_name_H-M_alt 'P b a m'
_space_group_IT_number 55
loop_
_space_group_symop_operation_xyz
'x,y,z'
'-x,-y,-z'
'-x,-y,z'
'x,y,-z'
'x+1/2,-y+1/2,-z'
'-x+1/2,y+1/2,z'
'-x+1/2,y+1/2,-z'
'x+1/2,-y+1/2,z'
loop_
_atom_site_label
_atom_site_fract_x
_atom_site_fract_y
_atom_site_fract_z
_atom_site_occupancy
Ta1 0.0000 0.0000 0.0000 1
Ta2 0.1492 0.2573 0.0000 1
Ta3 0.1618 0.6166 0.5000 1
Mo1 0.0000 0.5000 0.0000 1
W1 0.1630 0.8759 0.5000 1
```

***

Computed, not measured: a relaxed DyEr14Pu crystal at the PBE level of DFT.

Computed properties:
ΔH_f (0 K) in eV per atom: 0.037
Magnetic moment in μB per cell: 6.006

Structure (CIF):
```
data_DyEr14Pu
_chemical_formula_sum 'Dy1 Er14 Pu1'
_cell_length_a 7.0030
_cell_length_b 7.0030
_cell_length_c 9.8766
_cell_angle_alpha 90.00
_cell_angle_beta 90.00
_cell_angle_gamma 90.00
_space_group_name_H-M_alt 'P 4/m m m'
_space_group_IT_number 123
_space_group_name_Hall '-P 4 2'
loop_
_atom_site_label
_atom_site_fract_x
_atom_site_fract_y
_atom_site_fract_z
_atom_site_occupancy
Dy1 0.0000 0.0000 0.0000 1
Er1 0.0000 0.0000 0.5000 1
Er2 0.0000 0.5000 0.0000 1
Er3 0.0000 0.5000 0.5000 1
Er4 0.2517 0.2517 0.2487 1
Er5 0.5000 0.5000 0.5000 1
Pu1 0.5000 0.5000 0.0000 1
```

***

Computed, not measured: a relaxed RbBa2Cu crystal at the PBE level of DFT.

Computed properties:
Offset from the most stable computed form in meV per atom: 189.0
ΔH_f (0 K) in eV per atom: 0.230
Magnetic moment in μB per cell: 0.000

Structure (CIF):
```
data_RbBa2Cu
_chemical_formula_sum 'Rb4 Ba8 Cu4'
_cell_length_a 10.4747
_cell_length_b 10.4747
_cell_length_c 8.0133
_cell_angle_alpha 90.00
_cell_angle_beta 90.00
_cell_angle_gamma 90.00
_space_group_name_H-M_alt 'I -4 2 d'
_space_group_IT_number 122
_space_group_name_Hall 'I -4 2bw'
loop_
_atom_site_label
_atom_site_fract_x
_atom_site_fract_y
_atom_site_fract_z
_atom_site_occupancy
Rb1 0.0000 0.0000 0.0000 1
Ba1 0.1412 0.2500 0.6250 1
Cu1 0.0000 0.0000 0.5000 1
```

***

Computed, not measured: a relaxed BaTb2NbN4 crystal at the PBE level of DFT.

Computed properties:
Formation energy (no corrections) in meV/atom: -1201
Magnetic moment in μB per cell: 0.001

Structure (CIF):
```
data_BaTb2NbN4
_chemical_formula_sum 'Ba4 Tb8 Nb4 N16'
_cell_length_a 3.5327
_cell_length_b 12.6138
_cell_length_c 12.2092
_cell_angle_alpha 90.00
_cell_angle_beta 90.00
_cell_angle_gamma 90.00
_space_group_name_H-M_alt 'C m c m'
_space_group_IT_number 63
_space_group_name_Hall '-C 2c 2'
loop_
_atom_site_label
_atom_site_fract_x
_atom_site_fract_y
_atom_site_fract_z
_atom_site_occupancy
Ba1 0.0000 0.0896 0.2500 1
Tb1 0.0000 0.3716 0.0354 1
Nb1 0.0000 0.1734 0.7500 1
N1 0.0000 0.0000 0.0000 1
N2 0.0000 0.2557 0.6154 1
N3 0.0000 0.4105 0.2500 1
```

***

Repeat the sixth record exactly.
Computed, not measured: a relaxed BaSr2Tl2Pb2 crystal at the PBE level of DFT.

Computed properties:
ΔH_f (0 K) in eV per atom: -0.330
Magnetic moment in μB per cell: 0.000

Structure (CIF):
```
data_BaSr2Tl2Pb2
_chemical_formula_sum 'Ba3 Sr6 Tl6 Pb6'
_cell_length_a 5.5529
_cell_length_b 5.5529
_cell_length_c 29.7769
_cell_angle_alpha 90.00
_cell_angle_beta 90.00
_cell_angle_gamma 120.00
_space_group_name_H-M_alt 'R -3 m'
_space_group_IT_number 166
_space_group_name_Hall '-R 3 2"'
loop_
_atom_site_label
_atom_site_fract_x
_atom_site_fract_y
_atom_site_fract_z
_atom_site_occupancy
Ba1 0.0000 0.0000 0.0000 1
Sr1 0.0000 0.0000 0.1338 1
Tl1 0.0000 0.0000 0.4322 1
Pb1 0.0000 0.0000 0.2590 1
```